Entry 1:
The following is a PBE-GGA calculation of a relaxed structure of AlTeO2, from Alexandria.

Total magnetic moment = 0.0 μB/cell
Formation energy from raw total energies = -1.727 eV per atom
Crystal system = trigonal
Distance to the lowest polymorph of the same formula = 0.000 eV/atom

a b c (Å): 6.8759 6.8759 6.8759
angles (deg): 25.28 25.28 25.28
With the nearest neighbours (Å) after each atom.
Fractional coordinates of all 4 atoms:
Al: 0.0000 0.0000 0.0000  6 O 1.97
Te: 0.5000 0.5000 0.5000  2 O 2.39
O: 0.3804 0.3804 0.3804  3 Al 1.97
O: 0.6196 0.6196 0.6196  3 Al 1.97


Entry 2:
The following is a PBE-GGA calculation of a relaxed structure of Al3TeO, from Alexandria.

Total magnetic moment = 0.0 μB/cell
Formation energy from raw total energies = -0.248 eV per atom
Crystal system = cubic
Distance to the lowest polymorph of the same formula = 0.000 eV/atom

a b c (Å): 4.4711 4.4711 4.4711
angles (deg): 90.00 90.00 90.00
With the nearest neighbours (Å) after each atom.
Fractional coordinates of all 5 atoms:
Al: 0.0000 0.0000 0.5000  2 O 2.24
Al: 0.0000 0.5000 0.0000  2 O 2.24
Al: 0.5000 0.0000 0.0000  2 O 2.24
Te: 0.5000 0.5000 0.5000  12 Al 3.16
O: 0.0000 0.0000 0.0000  6 Al 2.24


Entry 3:
The following is a PBE-GGA calculation of a relaxed structure of AlTe2O, from Alexandria.

Total magnetic moment = 0.0 μB/cell
Formation energy from raw total energies = -0.013 eV per atom
Crystal system = tetragonal
Distance to the lowest polymorph of the same formula = 0.184 eV/atom

a b c (Å): 7.6894 7.6894 7.6894
angles (deg): 137.56 137.56 61.57
With the nearest neighbours (Å) after each atom.
Fractional coordinates of all 8 atoms:
Al: 0.0000 0.0000 0.0000  4 Te 2.77
Al: 0.7500 0.2500 0.5000  4 Te 2.77
Te: 0.1872 0.6250 0.0622  2 O 2.40
Te: 0.3750 0.4372 0.5622  2 O 2.40
Te: 0.5628 0.1250 0.9378  2 O 2.40
Te: 0.8750 0.8128 0.4378  2 O 2.40
O: 0.2500 0.7500 0.5000  4 Te 2.40
O: 0.5000 0.5000 0.0000  4 Te 2.40


Entry 4:
The following is a PBE-GGA calculation of a relaxed structure of Al2TeO6, from Alexandria.

Total magnetic moment = 0.0 μB/cell
Formation energy from raw total energies = -2.072 eV per atom
Crystal system = orthorhombic

a b c (Å): 4.5425 5.0389 8.2648
angles (deg): 90.00 90.00 90.00
With the nearest neighbours (Å) after each atom.
Fractional coordinates of all 18 atoms:
Al: 0.0000 0.0000 0.1879  6 O 1.88-1.99
Al: 0.0000 0.0000 0.8121  6 O 1.88-1.99
Al: 0.5000 0.5000 0.3121  6 O 1.88-1.99
Al: 0.5000 0.5000 0.6879  6 O 1.88-1.99
Te: 0.0000 0.5000 0.0000  6 O 1.91-1.96
Te: 0.5000 0.0000 0.5000  6 O 1.91-1.96
O: 0.1997 0.1666 0.0000  1 Te 1.91, 2 Al 1.98
O: 0.2359 0.6691 0.1701  2 Al 1.88-1.99, 1 Te 1.96
O: 0.2359 0.6691 0.8299  2 Al 1.88-1.99, 1 Te 1.96
O: 0.2641 0.1691 0.3299  2 Al 1.88-1.99, 1 Te 1.96
O: 0.2641 0.1691 0.6701  2 Al 1.88-1.99, 1 Te 1.96
O: 0.3003 0.6666 0.5000  1 Te 1.91, 2 Al 1.98
O: 0.6997 0.3334 0.5000  1 Te 1.91, 2 Al 1.98
O: 0.7359 0.8309 0.3299  2 Al 1.88-1.99, 1 Te 1.96
O: 0.7359 0.8309 0.6701  2 Al 1.88-1.99, 1 Te 1.96
O: 0.7641 0.3309 0.1701  2 Al 1.88-1.99, 1 Te 1.96
O: 0.7641 0.3309 0.8299  2 Al 1.88-1.99, 1 Te 1.96
O: 0.8003 0.8334 0.0000  1 Te 1.91, 2 Al 1.98


Entry 5:
The following is a PBE-GGA calculation of a relaxed structure of AlTe2O, from Alexandria.

Total magnetic moment = 0.0 μB/cell
Formation energy from raw total energies = 0.208 eV per atom
Crystal system = cubic
Distance to the lowest polymorph of the same formula = 0.405 eV/atom

a b c (Å): 4.7168 4.7168 4.7168
angles (deg): 60.00 60.00 60.00
With the nearest neighbours (Å) after each atom.
Fractional coordinates of all 4 atoms:
Al: 0.0000 0.0000 0.0000  8 Te 2.89
Te: 0.2500 0.2500 0.2500  4 O 2.89, 4 Al 2.89
Te: 0.7500 0.7500 0.7500  4 O 2.89, 4 Al 2.89
O: 0.5000 0.5000 0.5000  8 Te 2.89


Entry 6:
The following is a PBE-GGA calculation of a relaxed structure of AlTeO2, from Alexandria.

Total magnetic moment = 0.0 μB/cell
Formation energy from raw total energies = -0.025 eV per atom
Crystal system = cubic
Distance to the lowest polymorph of the same formula = 1.702 eV/atom

a b c (Å): 4.2185 4.2185 4.2185
angles (deg): 60.00 60.00 60.00
With the nearest neighbours (Å) after each atom.
Fractional coordinates of all 4 atoms:
Al: 0.0000 0.0000 0.0000  8 O 2.58
Te: 0.5000 0.5000 0.5000  8 O 2.58
O: 0.2500 0.2500 0.2500  4 Te 2.58, 4 Al 2.58
O: 0.7500 0.7500 0.7500  4 Te 2.58, 4 Al 2.58


Entry 7:
The following is a PBE-GGA calculation of a relaxed structure of AlTeO2, from Alexandria.

Total magnetic moment = 0.0 μB/cell
Formation energy from raw total energies = -0.654 eV per atom
Crystal system = trigonal
Distance to the lowest polymorph of the same formula = 1.073 eV/atom

a b c (Å): 7.1876 7.1876 7.1876
angles (deg): 24.87 24.87 24.87
With the nearest neighbours (Å) after each atom.
Fractional coordinates of all 4 atoms:
Al: 0.0000 0.0000 0.0000  2 O 1.76
Te: 0.5000 0.5000 0.5000  6 O 2.48
O: 0.0842 0.0842 0.0842  1 Al 1.76
O: 0.9158 0.9158 0.9158  1 Al 1.76


Entry 8:
The following is a PBE-GGA calculation of a relaxed structure of AlTeO3, from Alexandria.

Total magnetic moment = 0.0 μB/cell
Formation energy from raw total energies = -1.463 eV per atom
Crystal system = cubic

a b c (Å): 3.7401 3.7401 3.7401
angles (deg): 90.00 90.00 90.00
With the nearest neighbours (Å) after each atom.
Fractional coordinates of all 5 atoms:
Al: 0.0000 0.0000 0.0000  6 O 1.87
Te: 0.5000 0.5000 0.5000  12 O 2.64
O: 0.0000 0.0000 0.5000  2 Al 1.87
O: 0.0000 0.5000 0.0000  2 Al 1.87
O: 0.5000 0.0000 0.0000  2 Al 1.87